RbHf3I | PBE | optimized geometry Values from VASP.

Structure (Quantum ESPRESSO input):
```
&SYSTEM
  ibrav = 0, nat = 5, ntyp = 3
/
ATOMIC_SPECIES
Rb 85.47 Rb.upf
Hf 178.49 Hf.upf
I 126.90 I.upf
ATOMIC_POSITIONS crystal
Rb 0.0000 0.0000 0.0000
Hf 0.0000 0.0000 0.5000
Hf 0.0000 0.5000 0.0000
Hf 0.5000 0.0000 0.0000
I 0.5000 0.5000 0.5000
CELL_PARAMETERS angstrom
-1.2326 -4.2443 -2.7829
-2.0876 -2.1864 4.2591
-4.6261 2.1175 -1.1804
```

Computed properties:
- Final energy: -4.0876 eV/atom
- Space-group type: Pm-3m (221)
- E above lowest polymorph: 1037 meV/atom
- Magnetic moment: 0.0 μB/cell
- Formation energy from raw total energies: 2.39 eV/atom


LaIrPt | PBE | optimized geometry Values from VASP.

Structure (Quantum ESPRESSO input):
```
&SYSTEM
  ibrav = 0, nat = 3, ntyp = 3
/
ATOMIC_SPECIES
Ir 192.22 Ir.upf
Pt 195.08 Pt.upf
La 138.91 La.upf
ATOMIC_POSITIONS crystal
Ir 0.5000 0.5000 0.5000
Pt 0.0000 0.0000 0.0000
La 0.7500 0.7500 0.7500
CELL_PARAMETERS angstrom
-4.1449 2.0623 -0.6853
-3.5700 -0.9052 2.8877
-1.4969 3.2898 2.9731
```

Computed properties:
- Final energy: -6.4890 eV/atom
- Space-group type: F-43m (216)
- E above lowest polymorph: 1018 meV/atom
- Magnetic moment: 0.0 μB/cell
- ΔH_f (0 K): 0.1208 eV/atom


CsInRh2 | PBE | optimized geometry Values from VASP.

Structure (Quantum ESPRESSO input):
```
&SYSTEM
  ibrav = 0, nat = 8, ntyp = 3
/
ATOMIC_SPECIES
Rh 102.91 Rh.upf
In 114.82 In.upf
Cs 132.91 Cs.upf
ATOMIC_POSITIONS crystal
Rh 0.3673 0.6250 0.2500
Rh 0.8750 0.6327 0.7500
Rh 0.3750 0.6173 0.7500
Rh 0.3827 0.1250 0.2500
In 0.5000 0.5000 0.0000
In 0.2500 0.7500 0.5000
Cs 0.7500 0.2500 0.5000
Cs 0.0000 0.0000 0.0000
CELL_PARAMETERS angstrom
-2.0640 3.0021 -3.6406
-1.9949 -4.1562 -2.2963
-9.7633 0.3089 2.1468
```

Computed properties:
- Final energy: -4.1013 eV/atom
- Space-group type: I-42d (122)
- Magnetic moment: 0.8 μB/cell
- ΔH_f (0 K): 0.4725 eV/atom


RbZr2FeSb | PBE | optimized geometry Values from VASP.

Structure (Quantum ESPRESSO input):
```
&SYSTEM
  ibrav = 0, nat = 5, ntyp = 4
/
ATOMIC_SPECIES
Zr 91.22 Zr.upf
Sb 121.76 Sb.upf
Fe 55.84 Fe.upf
Rb 85.47 Rb.upf
ATOMIC_POSITIONS crystal
Zr 0.0000 0.5000 0.0000
Zr 0.5000 0.0000 0.0000
Sb 0.0000 0.0000 0.0000
Fe 0.5000 0.5000 0.5000
Rb 0.0000 0.0000 0.5000
CELL_PARAMETERS angstrom
5.4013 0.0000 0.0000
0.0000 5.4013 0.0000
0.0000 0.0000 6.2414
```

Computed properties:
- Final energy: -4.5133 eV/atom
- Space-group type: P4/mmm (123)
- Magnetic moment: 1.8 μB/cell
- Formation energy from raw total energies: 1.62 eV/atom


RbBaLi | PBE | optimized geometry Values from VASP.

Structure (Quantum ESPRESSO input):
```
&SYSTEM
  ibrav = 0, nat = 6, ntyp = 3
/
ATOMIC_SPECIES
Li 6.94 Li.upf
Ba 137.33 Ba.upf
Rb 85.47 Rb.upf
ATOMIC_POSITIONS crystal
Li 0.5000 0.5000 0.7742
Li 0.0000 0.0000 0.8337
Ba 0.5000 0.5000 0.9735
Ba 0.0000 0.0000 0.1647
Rb 0.0000 0.0000 0.6162
Rb 0.5000 0.5000 0.3783
CELL_PARAMETERS angstrom
4.3263 0.0000 0.0000
0.0000 4.3263 0.0000
0.0000 0.0000 17.8755
```

Computed properties:
- Final energy: -1.5045 eV/atom
- Space-group type: P4mm (99)
- E above lowest polymorph: 38 meV/atom
- Magnetic moment: 0.0 μB/cell
- ΔH_f (0 K): 0.0969 eV/atom


Pr4SiTe2Cl | PBE | optimized geometry Values from VASP.

Structure (Quantum ESPRESSO input):
```
&SYSTEM
  ibrav = 0, nat = 8, ntyp = 4
/
ATOMIC_SPECIES
Pr 140.91 Pr.upf
Si 28.09 Si.upf
Cl 35.45 Cl.upf
Te 127.60 Te.upf
ATOMIC_POSITIONS crystal
Pr 0.0000 0.2708 0.7799
Pr 0.5000 0.2572 0.2249
Pr 0.5000 0.7428 0.7751
Pr 0.0000 0.7292 0.2201
Si 0.5000 0.5000 0.0000
Cl 0.0000 0.0000 0.0000
Te 0.5000 0.0000 0.5000
Te 0.0000 0.5000 0.5000
CELL_PARAMETERS angstrom
4.3551 0.0000 0.0000
0.0000 7.5241 0.1259
0.0000 -2.6357 7.2949
```

Computed properties:
- Final energy: -5.4016 eV/atom
- Space-group type: P2/m (10)
- Magnetic moment: 0.0 μB/cell
- Formation energy from raw total energies: -1.32 eV/atom